Record 1
An optimized crystal structure of Gd2TmAl3PtAu2. Source: OQMD, functional PBE.

As for the density: 10.25 g/cm³. The total DFT energy (no corrections) comes out at -5.10 eV per atom.

It has space group Amm2 (No. 38), with a = 3.959 Å, b = 12.778 Å, c = 7.386 Å, α = 90.00°, β = 90.00° and γ = 90.00°. The asymmetric unit holds Gd at (0.000, 0.205, 0.000), Tm at (0.000, 0.000, 0.387), Al at (0.500, 0.000, 0.032), Al at (0.500, 0.118, 0.674), Pt at (0.000, 0.000, 0.789) and Au at (0.500, 0.163, 0.296).

Record 2
An optimized crystal structure of ScAlCoW. Source: OQMD, functional PBE.

The energy relative to the lowest polymorph listed for this composition is 0 meV/atom. As for the density: 8.49 g/cm³. The total DFT energy (no corrections) comes out at -7.36 eV per atom.

It has space group F-43m (No. 216), with a = 6.267 Å, b = 6.267 Å, c = 6.267 Å, α = 90.00°, β = 90.00° and γ = 90.00°. The asymmetric unit holds Sc at (0.000, 0.000, 0.000), Al at (0.000, 0.000, 0.500), Co at (0.250, 0.250, 0.750) and W at (0.250, 0.250, 0.250).